# LiSc2In4 (PBE, optimized geometry)
data_LiSc2In4
_chemical_formula_sum 'Li1 Sc2 In4'
_cell_length_a 8.1984
_cell_length_b 8.1984
_cell_length_c 8.1984
_cell_angle_alpha 146.08
_cell_angle_beta 146.08
_cell_angle_gamma 48.73
_space_group_name_H-M_alt 'P 1'
_space_group_IT_number 1
_space_group_name_Hall 'P 1'
loop_
_atom_site_label
_atom_site_type_symbol
_atom_site_fract_x
_atom_site_fract_y
_atom_site_fract_z
Li1 Li 0.0000 0.0000 0.0000
Sc1 Sc 0.3731 0.3731 0.0000
Sc2 Sc 0.6269 0.6269 0.0000
In1 In 0.0000 0.5000 0.5000
In2 In 0.1765 0.1765 0.0000
In3 In 0.5000 0.0000 0.5000
In4 In 0.8235 0.8235 0.0000
# - Crystal system: tetragonal
# - Distance to the lowest polymorph of the same formula: 319.1 meV/atom
# - Calculated formation energy: 0.10 eV per formula unit
# - E: -3.63 eV per atom

=====

# LiScIn2 (PBE, optimized geometry)
data_LiScIn2
_chemical_formula_sum 'Li1 Sc1 In2'
_cell_length_a 4.8182
_cell_length_b 4.8182
_cell_length_c 3.6716
_cell_angle_alpha 90.00
_cell_angle_beta 90.00
_cell_angle_gamma 90.00
_space_group_name_H-M_alt 'P 1'
_space_group_IT_number 1
_space_group_name_Hall 'P 1'
loop_
_atom_site_label
_atom_site_type_symbol
_atom_site_fract_x
_atom_site_fract_y
_atom_site_fract_z
Li1 Li 0.0000 0.0000 0.0000
Sc1 Sc 0.5000 0.5000 0.0000
In1 In 0.0000 0.5000 0.5000
In2 In 0.5000 0.0000 0.5000
# - Crystal system: tetragonal
# - Calculated formation energy: -1.56 eV per formula unit
# - E: -3.82 eV per atom